Below is PmPu2NiO8 after structural relaxation, with properties calculated at the PBE with a Hubbard U level.

As for the raw total energy: -8.83 eV/atom. Its volume is 338.2 Å³ per cell. The density of states at the Fermi level comes out at 7.04 states/eV/f.u.

The space group is Cmmm (No. 65) and the conventional cell measures 6.826, 7.151 and 6.928 Å, with angles of 90.00, 90.00 and 90.00 degrees. The asymmetric unit holds Pm at (0.000, 0.000, 0.000), Pu at (0.000, 0.500, 0.260), Ni at (0.000, 0.000, 0.500), O at (0.000, 0.310, 0.500), O at (0.000, 0.323, 0.000) and O at (0.206, 0.000, 0.272).